1.
Compound: Y2Ni3Ge5
Source: Alexandria via LeMat-Bulk
Functional: PBE
Structure: relaxed

abc: 5.9054 8.1436 8.1436
angles: 73.91 68.74 68.74
Closest atoms and distances in Å follow each position.
Fractional positions:
Ge (0.0201, 0.2299, 0.2299)  3 Ni 2.38-2.67, 2 Ge 2.64
Ge (0.9799, 0.7701, 0.7701)  3 Ni 2.38-2.67, 2 Ge 2.64
Y (0.8645, 0.4019, 0.8692)  10 Ge 2.90-3.19, 3 Ni 3.05-3.20
Ge (0.2500, 0.5000, 0.5000)  4 Ni 2.42
Ni (0.1374, 0.2541, 0.4711)  5 Ge 2.31-2.42
Y (0.1355, 0.5981, 0.1308)  10 Ge 2.90-3.19, 3 Ni 3.05-3.20
Ni (0.7500, 0.0000, 0.0000)  6 Ge 2.44-2.67
Ni (0.6374, 0.4711, 0.2541)  5 Ge 2.31-2.42
Ge (0.5983, 0.7415, 0.0619)  3 Ni 2.31-2.44
Ge (0.0983, 0.0619, 0.7415)  3 Ni 2.31-2.44
Ge (0.5201, 0.2299, 0.2299)  3 Ni 2.38-2.67, 2 Ge 2.64
Y (0.3645, 0.8692, 0.4019)  10 Ge 2.90-3.19, 3 Ni 3.05-3.20
Y (0.6355, 0.1308, 0.5981)  10 Ge 2.90-3.19, 3 Ni 3.05-3.20
Ge (0.9017, 0.9381, 0.2585)  3 Ni 2.31-2.44
Ni (0.2500, 0.0000, 0.0000)  6 Ge 2.44-2.67
Ni (0.3626, 0.5289, 0.7459)  5 Ge 2.31-2.42
Ni (0.8626, 0.7459, 0.5289)  5 Ge 2.31-2.42
Ge (0.7500, 0.5000, 0.5000)  4 Ni 2.42
Ge (0.4017, 0.2585, 0.9381)  3 Ni 2.31-2.44
Ge (0.4799, 0.7701, 0.7701)  3 Ni 2.38-2.67, 2 Ge 2.64

Summary:
Calculated volume   335.3 Å³ per cell
E_tot   -59.720 eV per formula unit
DFT formation energy   -0.64 eV per atom



2.
Compound: Y2Ni2Ge
Source: Alexandria via LeMat-Bulk
Functional: PBE
Structure: relaxed

abc: 4.0830 5.5100 9.4048
angles: 87.41 77.46 68.25
Closest atoms and distances in Å follow each position.
Fractional positions:
Y (0.0820, 0.7264, 0.1096)  6 Ni 2.92-3.04, 2 Ge 3.10
Ni (0.0858, 0.2689, 0.5595)  3 Ge 2.40-2.64, 1 Ni 2.64
Y (0.3300, 0.6778, 0.6622)  7 Ni 2.90-3.20, 4 Ge 2.95-3.16
Ni (0.9142, 0.7311, 0.4405)  3 Ge 2.40-2.64, 1 Ni 2.64
Ni (0.3766, 0.1346, 0.1123)  1 Ni 2.43, 1 Ge 2.50
Ni (0.6234, 0.8654, 0.8877)  1 Ni 2.43, 1 Ge 2.50
Y (0.6700, 0.3222, 0.3378)  7 Ni 2.90-3.20, 4 Ge 2.95-3.16
Y (0.9180, 0.2736, 0.8904)  6 Ni 2.92-3.04, 2 Ge 3.10
Ge (0.6269, 0.0940, 0.6523)  4 Ni 2.40-2.64
Ge (0.3731, 0.9060, 0.3477)  4 Ni 2.40-2.64

Summary:
Calculated volume   191.7 Å³ per cell
E_tot   -32.070 eV per formula unit
DFT formation energy   -0.59 eV per atom



3.
Compound: Y3Ni7Ge4
Source: Alexandria via LeMat-Bulk
Functional: PBE
Structure: relaxed

abc: 4.0292 7.8064 7.7873
angles: 69.17 75.01 75.04
Closest atoms and distances in Å follow each position.
Fractional positions:
Ni (0.1299, 0.6414, 0.0988)  3 Ge 2.39-2.59, 3 Ni 2.57
Ge (0.1201, 0.1002, 0.6596)  6 Ni 2.43-2.49
Ni (0.4991, 0.7833, 0.2185)  3 Ge 2.44-2.48, 3 Ni 2.53-2.57
Ni (0.0000, 0.0000, 0.0000)  2 Ge 2.43, 2 Ni 2.57
Ge (0.3319, 0.5320, 0.8042)  5 Ni 2.39-2.59
Ge (0.6681, 0.4680, 0.1958)  5 Ni 2.39-2.59
Ge (0.8799, 0.8998, 0.3404)  6 Ni 2.43-2.49
Y (0.3181, 0.1891, 0.1748)  9 Ni 2.88-3.21, 5 Ge 2.95-3.16
Ni (0.6833, 0.1724, 0.4611)  4 Ge 2.47-2.49, 1 Ni 2.53
Ni (0.5009, 0.2167, 0.7815)  3 Ge 2.44-2.48, 3 Ni 2.53-2.57
Y (0.6819, 0.8109, 0.8252)  9 Ni 2.88-3.21, 5 Ge 2.95-3.16
Ni (0.3167, 0.8276, 0.5389)  4 Ge 2.47-2.49, 1 Ni 2.53
Ni (0.8701, 0.3586, 0.9012)  3 Ge 2.39-2.59, 3 Ni 2.57
Y (0.0000, 0.5000, 0.5000)  6 Ni 2.87-3.21, 6 Ge 2.88-3.11

Summary:
Calculated volume   217.4 Å³ per cell
E_tot   -86.815 eV per formula unit
DFT formation energy   -0.61 eV per atom



4.
Compound: YNi5Ge3
Source: Alexandria via LeMat-Bulk
Functional: PBE
Structure: relaxed

abc: 3.8700 6.8421 19.1388
angles: 90.00 90.00 90.00
Closest atoms and distances in Å follow each position.
Fractional positions:
Y (0.7500, 0.3788, 0.1442)  6 Ge 2.98-2.99, 10 Ni 3.07-3.32
Ni (0.2500, 0.3648, 0.0046)  4 Ge 2.37-2.46, 2 Ni 2.59
Ge (0.7500, 0.5886, 0.4128)  7 Ni 2.33-2.56
Ni (0.7500, 0.8648, 0.4954)  4 Ge 2.37-2.46, 2 Ni 2.59
Ni (0.2500, 0.4246, 0.7087)  4 Ge 2.33-2.39
Ni (0.2500, 0.3554, 0.3870)  5 Ge 2.39-2.56, 1 Ni 2.59
Ni (0.7500, 0.3081, 0.8004)  4 Ge 2.40-2.45, 1 Ni 2.63
Ni (0.2500, 0.6152, 0.4858)  4 Ge 2.34-2.39, 5 Ni 2.56-2.59
Ni (0.2500, 0.1352, 0.5046)  4 Ge 2.37-2.46, 2 Ni 2.59
Ge (0.2500, 0.3853, 0.2628)  7 Ni 2.36-2.45
Ni (0.2500, 0.8081, 0.6996)  4 Ge 2.40-2.45, 1 Ni 2.63
Ge (0.2500, 0.0886, 0.0872)  7 Ni 2.33-2.56
Ge (0.2500, 0.1147, 0.7628)  7 Ni 2.36-2.45
Ni (0.7500, 0.6446, 0.6130)  5 Ge 2.39-2.56, 1 Ni 2.59
Ge (0.7500, 0.3501, 0.9252)  7 Ni 2.34-2.50
Ni (0.7500, 0.3848, 0.5142)  4 Ge 2.34-2.39, 5 Ni 2.56-2.59
Y (0.2500, 0.8788, 0.3558)  6 Ge 2.98-2.99, 10 Ni 3.07-3.32
Ge (0.2500, 0.4114, 0.5872)  7 Ni 2.33-2.56
Ni (0.7500, 0.6352, 0.9954)  4 Ge 2.37-2.46, 2 Ni 2.59
Ni (0.2500, 0.1446, 0.8870)  5 Ge 2.39-2.56, 1 Ni 2.59
Ni (0.7500, 0.1919, 0.3004)  4 Ge 2.40-2.45, 1 Ni 2.63
Ni (0.2500, 0.0754, 0.2087)  4 Ge 2.33-2.39
Ge (0.7500, 0.8853, 0.2372)  7 Ni 2.36-2.45
Ni (0.7500, 0.1152, 0.0142)  4 Ge 2.34-2.39, 5 Ni 2.56-2.59
Ge (0.7500, 0.6147, 0.7372)  7 Ni 2.36-2.45
Ni (0.2500, 0.6919, 0.1996)  4 Ge 2.40-2.45, 1 Ni 2.63
Ge (0.7500, 0.1499, 0.4252)  7 Ni 2.34-2.50
Ni (0.7500, 0.5754, 0.2913)  4 Ge 2.33-2.39
Ni (0.7500, 0.9246, 0.7913)  4 Ge 2.33-2.39
Y (0.2500, 0.6212, 0.8558)  6 Ge 2.98-2.99, 10 Ni 3.07-3.32
Ge (0.2500, 0.8501, 0.5748)  7 Ni 2.34-2.50
Ge (0.7500, 0.9114, 0.9128)  7 Ni 2.33-2.56
Y (0.7500, 0.1212, 0.6442)  6 Ge 2.98-2.99, 10 Ni 3.07-3.32
Ni (0.7500, 0.8554, 0.1130)  5 Ge 2.39-2.56, 1 Ni 2.59
Ge (0.2500, 0.6499, 0.0748)  7 Ni 2.34-2.50
Ni (0.2500, 0.8848, 0.9858)  4 Ge 2.34-2.39, 5 Ni 2.56-2.59

Summary:
Calculated volume   506.8 Å³ per cell
E_tot   -54.032 eV per formula unit
DFT formation energy   -0.53 eV per atom